No. 1
Material: Dy4CdAg2Ru
Method: DFT, GGA-PBE
State: relaxed

Computed properties:
As for the symmetry: R-3m (166).

abc: 8.7646 8.7646 8.7646
angles: 33.90 33.90 33.90
Atoms (fractional coordinates):
Dy 0.1148 0.1148 0.1148
Dy 0.3672 0.3672 0.3672
Dy 0.6328 0.6328 0.6328
Dy 0.8852 0.8852 0.8852
Cd 0.5000 0.5000 0.5000
Ag 0.2424 0.2424 0.2424
Ag 0.7576 0.7576 0.7576
Ru 0.0000 0.0000 0.0000

No. 2
Material: DyCdAgRu
Method: DFT, GGA-PBE
State: relaxed

Computed properties:
As for the symmetry: F-43m (216).

abc: 4.8069 4.8069 4.8069
angles: 60.00 60.00 60.00
Atoms (fractional coordinates):
Dy 0.0000 0.0000 0.0000
Cd 0.5000 0.5000 0.5000
Ag 0.7500 0.7500 0.7500
Ru 0.2500 0.2500 0.2500

No. 3
Material: DyScCdAg
Method: DFT, GGA-PBE
State: relaxed

Computed properties:
As for the symmetry: P4mm (99).

abc: 3.5948 3.5948 7.1532
angles: 90.00 90.00 90.00
Atoms (fractional coordinates):
Dy 0.0000 0.0000 0.0000
Sc 0.0000 0.0000 0.4823
Cd 0.5000 0.5000 0.7199
Ag 0.5000 0.5000 0.2634

No. 4
Material: DyScCdAg
Method: DFT, GGA-PBE
State: relaxed

Computed properties:
As for the symmetry: F-43m (216).

abc: 5.0838 5.0838 5.0838
angles: 60.00 60.00 60.00
Atoms (fractional coordinates):
Dy 0.0000 0.0000 0.0000
Sc 0.5000 0.5000 0.5000
Cd 0.2500 0.2500 0.2500
Ag 0.7500 0.7500 0.7500

No. 5
Material: SrDyCdAg
Method: DFT, GGA-PBE
State: relaxed

Computed properties:
As for the symmetry: F-43m (216).

abc: 5.4043 5.4043 5.4043
angles: 60.00 60.00 60.00
Atoms (fractional coordinates):
Sr 0.0000 0.0000 0.0000
Dy 0.5000 0.5000 0.5000
Cd 0.7500 0.7500 0.7500
Ag 0.2500 0.2500 0.2500

No. 6
Material: Sr2DyCd12Ag3
Method: DFT, GGA-PBE
State: relaxed

Computed properties:
As for the symmetry: R-3m (166).

abc: 9.4379 9.4379 9.4379
angles: 54.54 54.54 54.54
Atoms (fractional coordinates):
Sr 0.0893 0.0893 0.0893
Sr 0.9107 0.9107 0.9107
Dy 0.5000 0.5000 0.5000
Cd 0.0304 0.6699 0.6699
Cd 0.2722 0.2722 0.6479
Cd 0.2722 0.6479 0.2722
Cd 0.3301 0.3301 0.9696
Cd 0.3301 0.9696 0.3301
Cd 0.3521 0.7278 0.7278
Cd 0.6479 0.2722 0.2722
Cd 0.6699 0.0304 0.6699
Cd 0.6699 0.6699 0.0304
Cd 0.7278 0.3521 0.7278
Cd 0.7278 0.7278 0.3521
Cd 0.9696 0.3301 0.3301
Ag 0.0000 0.5000 0.5000
Ag 0.5000 0.0000 0.5000
Ag 0.5000 0.5000 0.0000

No. 7
Material: TbDyCdAg
Method: DFT, GGA-PBE
State: relaxed

Computed properties:
As for the symmetry: P4mm (99).

abc: 3.6878 3.6878 7.4223
angles: 90.00 90.00 90.00
Atoms (fractional coordinates):
Tb 0.0000 0.0000 0.0000
Dy 0.0000 0.0000 0.5166
Cd 0.5000 0.5000 0.2597
Ag 0.5000 0.5000 0.7559

No. 8
Material: TbDyCdAg
Method: DFT, GGA-PBE
State: relaxed

Computed properties:
As for the symmetry: F-43m (216).

abc: 5.2283 5.2283 5.2283
angles: 60.00 60.00 60.00
Atoms (fractional coordinates):
Tb 0.0000 0.0000 0.0000
Dy 0.5000 0.5000 0.5000
Cd 0.7500 0.7500 0.7500
Ag 0.2500 0.2500 0.2500

| no. | ΔH_f (0 K) (eV per atom) |
| --- | --- |
| 1 | -0.3570 |
| 2 | -0.0787 |
| 3 | -0.2878 |
| 4 | -0.2725 |
| 5 | -0.2253 |
| 6 | 0.0683 |
| 7 | -0.3149 |
| 8 | -0.3040 |